Entry one
Material: VPHO5
Method: DFT, GGA+U
State: relaxed

Computed properties:
The space-group type is P-1. For the total moment, the calculation gives 1.00 μB per formula unit.

abc: 5.2304 5.2505 7.3552
angles: 105.94 108.45 99.40
Each line ends with the local moment (μB).
Sites, in units of the cell vectors:
O  0.2497  0.3613  0.6286  -0.03
O  0.6330  0.7463  0.9195  -0.01
O  0.1286  0.9495  0.2699  -0.03
O  0.7503  0.6387  0.3714  -0.03
O  0.3670  0.2537  0.0805  -0.01
O  0.1283  0.6988  0.8830  -0.02
O  0.8714  0.0505  0.7301  -0.03
O  0.8717  0.3012  0.1170  -0.02
O  0.3047  0.8521  0.6332  -0.01
O  0.6953  0.1479  0.3668  -0.01
V  0.0000  0.0000  0.5000  1.06
V  0.0000  0.0000  0.0000  1.04
P  0.3285  0.6658  0.7673  0.01
P  0.6715  0.3342  0.2327  0.01
H  0.6647  0.0180  0.6810  0.01
H  0.3353  0.9820  0.3190  0.01



Entry two
Material: VPHO5
Method: DFT, GGA+U
State: relaxed

Computed properties:
The density of states at the Fermi level is 0.12 states/eV/f.u. The space-group type is P-1. For the total moment, the calculation gives 1.00 μB per formula unit.

abc: 5.5428 5.4912 6.5581
angles: 99.18 86.12 118.52
Each line ends with the local moment (μB).
Sites, in units of the cell vectors:
O  0.3058  0.1372  0.6190  -0.28
O  0.6942  0.8628  0.3810  -0.28
O  0.6708  0.8304  0.1729  -0.34
O  0.2736  0.6043  0.7041  -0.02
O  0.1289  0.7685  0.1067  -0.03
O  0.8711  0.2315  0.8933  -0.03
O  0.1733  0.3619  0.2433  -0.02
O  0.3292  0.1696  0.8271  -0.34
O  0.8267  0.6381  0.7567  -0.02
O  0.7264  0.3957  0.2959  -0.02
P  0.0414  0.5651  0.2682  0.01
P  0.9586  0.4349  0.7318  0.01
H  0.8405  0.2515  0.5512  0.00
H  0.1595  0.7485  0.4488  0.00
V  0.5000  0.5000  0.5000  1.80
V  0.0000  0.0000  0.0000  1.63



Which one sits at the bottom of the stability order? entry two does.



Entry one
Material: VPHO2
Method: DFT, GGA+U
State: relaxed

Computed properties:
The density of states at the Fermi level is 2.09 states/eV/f.u. The space-group type is P4/mmm. For the total moment, the calculation gives 0.29 μB per formula unit.

abc: 3.5875 3.5875 5.1913
angles: 90.00 90.00 90.00
Each line ends with the local moment (μB).
Sites, in units of the cell vectors:
O  0.5000  0.0000  0.0000  -0.12
O  0.0000  0.5000  0.0000  -0.12
H  0.5000  0.5000  0.5000  -0.01
P  0.0000  0.0000  0.5000  0.02
V  0.0000  0.0000  0.0000  0.49



Entry two
Material: VPHO2
Method: DFT, GGA+U
State: relaxed

Computed properties:
The density of states at the Fermi level is 1.01 states/eV/f.u. The space-group type is P4/mmm. For the total moment, the calculation gives 2.80 μB per formula unit.

abc: 3.9962 3.9962 2.9777
angles: 90.00 90.00 90.00
Each line ends with the local moment (μB).
Sites, in units of the cell vectors:
O  0.0000  0.5000  0.0000  0.03
O  0.5000  0.0000  0.0000  0.03
P  0.0000  0.0000  0.5000  -0.01
V  0.5000  0.5000  0.5000  2.51
H  0.0000  0.0000  0.0000  0.02



Which one sits at the bottom of the stability order? entry two does.